Record 1
Density functional theory data (PBE) for crystalline Hf2NbHgC at its relaxed geometry.

SG: No. 123
formation energy from the elements: -349 meV per atom
N(E_F): 2.7 states/eV/cell
total moment: 0.00 μB/cell

The structure in POSCAR format:
```
Hf2NbHgC
1.0
4.531 0.000 0.000
0.000 4.531 0.000
0.000 0.000 4.296
Hf Nb Hg C
2 1 1 1
Direct
0.000 0.500 0.000
0.500 0.000 0.000
0.000 0.000 0.500
0.500 0.500 0.500
0.000 0.000 0.000
```

Record 2
Density functional theory data (PBE) for crystalline HfHgPtC2 at its relaxed geometry.

SG: No. 123
formation energy from the elements: 2469 meV per atom
N(E_F): 4.4 states/eV/cell
total moment: 1.32 μB/cell

The structure in POSCAR format:
```
HfHgPtC2
1.0
4.062 0.000 0.000
0.000 4.062 0.000
0.000 0.000 5.899
Hf Hg Pt C
1 1 1 2
Direct
0.000 0.000 0.000
0.000 0.000 0.500
0.500 0.500 0.000
0.000 0.500 0.500
0.500 0.000 0.500
```

Record 3
Density functional theory data (PBE) for crystalline HfHg2RhC at its relaxed geometry.

SG: No. 123
formation energy from the elements: 1421 meV per atom
N(E_F): 6.8 states/eV/cell
total moment: 1.39 μB/cell

The structure in POSCAR format:
```
HfHg2RhC
1.0
5.540 0.000 0.000
0.000 5.540 0.000
0.000 0.000 4.044
Hf Hg Rh C
1 2 1 1
Direct
0.000 0.000 0.000
0.000 0.500 0.000
0.500 0.000 0.000
0.500 0.500 0.500
0.000 0.000 0.500
```

Record 4
Density functional theory data (PBE) for crystalline Hf2ScHgC at its relaxed geometry.

SG: No. 123
formation energy from the elements: -510 meV per atom
N(E_F): 2.0 states/eV/cell
total moment: 0.00 μB/cell

The structure in POSCAR format:
```
Hf2ScHgC
1.0
4.503 0.000 0.000
0.000 4.503 0.000
0.000 0.000 4.504
Hf Sc Hg C
2 1 1 1
Direct
0.000 0.500 0.000
0.500 0.000 0.000
0.000 0.000 0.500
0.500 0.500 0.500
0.000 0.000 0.000
```

Record 5
Density functional theory data (PBE) for crystalline HfScHgC at its relaxed geometry.

SG: No. 160
formation energy from the elements: -550 meV per atom
N(E_F): 8.7 states/eV/cell
total moment: 0.00 μB/cell

The structure in POSCAR format:
```
HfScHgC
1.0
3.323 0.000 0.000
-1.661 2.878 0.000
0.000 0.000 22.425
Hf Sc Hg C
3 3 3 3
Direct
0.000 0.000 0.000
0.333 0.667 0.667
0.667 0.333 0.333
0.000 0.000 0.777
0.333 0.667 0.444
0.667 0.333 0.110
0.000 0.000 0.557
0.333 0.667 0.223
0.667 0.333 0.890
0.000 0.000 0.385
0.333 0.667 0.052
0.667 0.333 0.719
```

Record 6
Density functional theory data (PBE) for crystalline HfSc2HgC at its relaxed geometry.

SG: No. 123
formation energy from the elements: -543 meV per atom
N(E_F): 3.2 states/eV/cell
total moment: 0.00 μB/cell

The structure in POSCAR format:
```
HfSc2HgC
1.0
4.510 0.000 0.000
0.000 4.510 0.000
0.000 0.000 4.523
Hf Sc Hg C
1 2 1 1
Direct
0.000 0.000 0.000
0.000 0.500 0.500
0.500 0.000 0.500
0.500 0.500 0.000
0.000 0.000 0.500
```

Record 7
Density functional theory data (PBE) for crystalline HfTiHgC at its relaxed geometry.

SG: No. 160
formation energy from the elements: -550 meV per atom
N(E_F): 7.9 states/eV/cell
total moment: 0.00 μB/cell

The structure in POSCAR format:
```
HfTiHgC
1.0
3.223 0.000 0.000
-1.611 2.791 0.000
0.000 0.000 21.877
Hf Ti Hg C
3 3 3 3
Direct
0.000 0.000 0.000
0.333 0.667 0.667
0.667 0.333 0.333
0.000 0.000 0.774
0.333 0.667 0.441
0.667 0.333 0.107
0.000 0.000 0.551
0.333 0.667 0.218
0.667 0.333 0.884
0.000 0.000 0.390
0.333 0.667 0.057
0.667 0.333 0.723
```

Record 8
Density functional theory data (PBE) for crystalline Hf3Ti3Hg2C at its relaxed geometry.

SG: No. 189
formation energy from the elements: -109 meV per atom
N(E_F): 10.7 states/eV/cell
total moment: 0.00 μB/cell

The structure in POSCAR format:
```
Hf3Ti3Hg2C
1.0
7.477 0.000 0.000
-3.739 6.476 0.000
0.000 0.000 3.353
Hf Ti Hg C
3 3 2 1
Direct
0.000 0.632 0.000
0.368 0.368 0.000
0.632 0.000 0.000
0.000 0.213 0.500
0.213 0.000 0.500
0.787 0.787 0.500
0.333 0.667 0.500
0.667 0.333 0.500
0.000 0.000 0.000
```